Material: NaBe3Se
Method: DFT, PBE-GGA
State: optimized geometry

abc: 4.517 4.517 4.517
angles: 90.00 90.00 90.00
Space group Pm-3m (No. 221)
Inequivalent atoms, fractional coordinates:
Na (0.000, 0.000, 0.000) [1 per cell]
Be (0.000, 0.500, 0.500) [3 per cell]
Se (0.500, 0.500, 0.500) [1 per cell]

## Properties
ρ: 2.32 g cm⁻³
E_form (uncorrected): 0.980 eV/atom